Crystalline TbScZn2 at its relaxed geometry. Source: the Alexandria database, functional PBE-GGA.

Cell and atoms, written as POSCAR:
```
TbScZn2
1.0
3.442 0.000 0.000
0.000 3.442 0.000
0.000 0.000 7.038
Tb Sc Zn
1 1 2
Direct
0.000 0.000 0.000
0.000 0.000 0.500
0.500 0.500 0.278
0.500 0.500 0.722
```

Results
DFT formation energy   -345 meV/atom
Symmetry   P4/mmm